DFT (PBE) results for TbNdCdGa after structural relaxation.

```
TbNdCdGa
1.0
3.660 0.000 0.000
0.000 3.660 0.000
0.000 0.000 7.710
Tb Nd Cd Ga
1 1 1 1
Direct
0.000 0.000 0.000 Tb
0.000 0.000 0.533 Nd
0.500 0.500 0.253 Cd
0.500 0.500 0.778 Ga
```

crystal system: tetragonal
symmetry: P4mm
ΔH_f (0 K): -0.4505 eV per atom
density: 7.80 g cm⁻³
M_tot: 0.00 μB per formula unit
energy above the lowest structure with this stoichiometry: 0.00 eV/f.u.